Entry 1:
Crystalline RbTcWSe2 at its relaxed geometry. Source: the Alexandria database, functional GGA-PBE.

Summary:
Total DFT energy (no corrections), eV/atom: -4.8793
Calculated volume, Å³/cell: 161
Energy relative to the elements, uncorrected, eV/atom: 1.37
Space-group type: No. 123
D(E_F), states/eV/cell: 4.7
Crystal system: tetragonal

Structure (POSCAR):
```
RbTcWSe2
1.0
4.9108 0.0000 0.0000
0.0000 4.9108 0.0000
0.0000 0.0000 6.6885
Rb Tc W Se
1 1 1 2
Direct
0.0000 0.0000 0.0000
0.5000 0.5000 0.0000
0.0000 0.0000 0.5000
0.0000 0.5000 0.5000
0.5000 0.0000 0.5000
```

Entry 2:
Crystalline Y2ThTlN at its relaxed geometry. Source: the Alexandria database, functional GGA-PBE.

Summary:
Total DFT energy (no corrections), eV/atom: -7.0358
Calculated volume, Å³/cell: 118
Energy relative to the elements, uncorrected, eV/atom: -0.83
Space-group type: No. 123
D(E_F), states/eV/cell: 2.4
Crystal system: tetragonal

Structure (POSCAR):
```
Y2ThTlN
1.0
4.9109 0.0000 0.0000
0.0000 4.9109 0.0000
0.0000 0.0000 4.9039
Y Th Tl N
2 1 1 1
Direct
0.0000 0.5000 0.0000
0.5000 0.0000 0.0000
0.0000 0.0000 0.5000
0.5000 0.5000 0.5000
0.0000 0.0000 0.0000
```

Question: What is the energy relative to the elements, uncorrected in the first record?
Answer: 1.37 eV/atom

Question: Among the records above, which one has the highest D(E_F)?
Answer: RbTcWSe2